Model P:
DFT (GGA-PBE) results for a relaxed structure of RbScPd2.

For the mass density, the calculation gives 6.4 g cm⁻³.

It has space group Fm-3m (No. 225), with a = 7.084 Å, b = 7.084 Å, c = 7.084 Å, α = 90.00°, β = 90.00° and γ = 90.00°. The distinct sites, in fractional coordinates, are Rb at (0.000, 0.000, 0.000), Sc at (0.000, 0.000, 0.500) and Pd at (0.250, 0.250, 0.250).

Model Q:
DFT (GGA-PBE) results for a relaxed structure of RbScPd2.

For the mass density, the calculation gives 5.4 g cm⁻³.

It has space group I-42d (No. 122), with a = 7.820 Å, b = 7.820 Å, c = 6.872 Å, α = 90.00°, β = 90.00° and γ = 90.00°. The distinct sites, in fractional coordinates, are Rb at (0.000, 0.000, 0.000), Sc at (0.000, 0.000, 0.500) and Pd at (0.189, 0.250, 0.625).

Which of them is the most stable? Correct choice: model Q.

Model P:
DFT (GGA-PBE) results for a relaxed structure of RbScPd3.

For the mass density, the calculation gives 5.7 g cm⁻³.

It has space group Pm-3m (No. 221), with a = 5.086 Å, b = 5.086 Å, c = 5.086 Å, α = 90.00°, β = 90.00° and γ = 90.00°. The distinct sites, in fractional coordinates, are Rb at (0.000, 0.000, 0.000), Sc at (0.500, 0.500, 0.500) and Pd at (0.000, 0.000, 0.500).

Model Q:
DFT (GGA-PBE) results for a relaxed structure of RbScPd3.

For the mass density, the calculation gives 5.8 g cm⁻³.

It has space group Pm-3m (No. 221), with a = 5.038 Å, b = 5.038 Å, c = 5.038 Å, α = 90.00°, β = 90.00° and γ = 90.00°. The distinct sites, in fractional coordinates, are Rb at (0.000, 0.000, 0.000), Sc at (0.500, 0.500, 0.500) and Pd at (0.000, 0.500, 0.500).

Which of them is the most stable? Correct choice: model Q.

Model P:
DFT (GGA-PBE) results for a relaxed structure of RbPd3Se.

For the mass density, the calculation gives 6.8 g cm⁻³.

It has space group Pm-3m (No. 221), with a = 4.897 Å, b = 4.897 Å, c = 4.897 Å, α = 90.00°, β = 90.00° and γ = 90.00°. The distinct sites, in fractional coordinates, are Rb at (0.000, 0.000, 0.000), Pd at (0.000, 0.500, 0.500) and Se at (0.500, 0.500, 0.500).

Model Q:
DFT (GGA-PBE) results for a relaxed structure of RbPd3Se.

For the mass density, the calculation gives 6.0 g cm⁻³.

It has space group Pm-3m (No. 221), with a = 5.126 Å, b = 5.126 Å, c = 5.126 Å, α = 90.00°, β = 90.00° and γ = 90.00°. The distinct sites, in fractional coordinates, are Rb at (0.000, 0.000, 0.000), Pd at (0.000, 0.000, 0.500) and Se at (0.500, 0.500, 0.500).

Which of them is the most stable? Correct choice: model P.

Model P:
DFT (GGA-PBE) results for a relaxed structure of Rb2Si2Pd.

For the mass density, the calculation gives 4.4 g cm⁻³.

It has space group P4/mbm (No. 127), with a = 6.561 Å, b = 6.561 Å, c = 5.836 Å, α = 90.00°, β = 90.00° and γ = 90.00°. The distinct sites, in fractional coordinates, are Rb at (0.191, 0.309, 0.000), Si at (0.127, 0.627, 0.500) and Pd at (0.000, 0.000, 0.500).

Model Q:
DFT (GGA-PBE) results for a relaxed structure of Rb2Si2Pd.

For the mass density, the calculation gives 3.4 g cm⁻³.

It has space group P4/mbm (No. 127), with a = 10.286 Å, b = 10.286 Å, c = 3.081 Å, α = 90.00°, β = 90.00° and γ = 90.00°. The distinct sites, in fractional coordinates, are Rb at (0.214, 0.286, 0.000), Si at (0.076, 0.576, 0.500) and Pd at (0.000, 0.000, 0.000).

Which of them is the most stable? Correct choice: model P.